1.
The following is a PBE-GGA calculation of an optimized crystal structure of Ba2ZnTe, from Alexandria.

## Properties
* total DFT energy (no corrections): -2.877 eV/atom
* formation energy without anion corrections: -0.812 eV per atom
* mass density: 4.4 g/cm3
* V: 174.9 Å³ per cell
* distance to the lowest polymorph of the same formula: 0.10 eV/f.u.
* space group: R-3m, No. 166
* size of the total moment: 0.86 μB per cell

Lattice parameters (Å, degrees): 9.037 9.037 9.037 31.12 31.12 31.12
Fractional positions:
Ba1 0.247 0.247 0.247
Ba2 0.753 0.753 0.753
Zn1 0.000 0.000 0.000
Te1 0.500 0.500 0.500

2.
The following is a PBE-GGA calculation of an optimized crystal structure of Ba2Zn2Te, from Alexandria.

## Properties
* total DFT energy (no corrections): -2.280 eV/atom
* formation energy without anion corrections: -0.373 eV per atom
* mass density: 4.8 g/cm3
* V: 182.8 Å³ per cell
* distance to the lowest polymorph of the same formula: 0.82 eV/f.u.
* space group: I4/mmm, No. 139
* size of the total moment: 0.00 μB per cell

Lattice parameters (Å, degrees): 6.404 6.404 6.404 121.01 121.01 88.27
Fractional positions:
Ba1 0.250 0.750 0.500
Ba2 0.750 0.250 0.500
Zn1 0.133 0.133 0.000
Zn2 0.867 0.867 0.000
Te1 0.500 0.500 0.000

3.
The following is a PBE-GGA calculation of an optimized crystal structure of BaZnTe4, from Alexandria.

## Properties
* total DFT energy (no corrections): -2.938 eV/atom
* formation energy without anion corrections: -0.310 eV per atom
* mass density: 5.9 g/cm3
* V: 199.1 Å³ per cell
* space group: F-43m, No. 216
* size of the total moment: 0.00 μB per cell

Lattice parameters (Å, degrees): 6.555 6.555 6.555 60.00 60.00 60.00
Fractional positions:
Ba1 0.000 0.000 0.000
Zn1 0.250 0.250 0.250
Te1 0.126 0.625 0.625
Te2 0.625 0.126 0.625
Te3 0.625 0.625 0.126
Te4 0.625 0.625 0.625